Material: Ta6IrOs5
Method: DFT, PBE
State: relaxed Values from VASP.

Calculated values
E_form: -0.313 eV/atom
DOS(E_F): 8.7 states/eV/cell

The structure in Quantum ESPRESSO input format:
```
&SYSTEM
  ibrav = 0, nat = 12, ntyp = 3
/
ATOMIC_SPECIES
Ta 180.95 Ta.upf
Ir 192.22 Ir.upf
Os 190.23 Os.upf
CELL_PARAMETERS angstrom
4.654 0.000 0.000
0.000 6.074 0.000
-1.340 0.000 6.895
ATOMIC_POSITIONS crystal
Ta 0.000 0.248 0.000
Ta 0.000 0.752 0.000
Ta 0.303 0.249 0.671
Ta 0.303 0.751 0.671
Ta 0.697 0.249 0.329
Ta 0.697 0.751 0.329
Ir 0.500 0.500 0.000
Os 0.204 0.500 0.343
Os 0.205 0.000 0.345
Os 0.500 0.000 0.000
Os 0.795 0.000 0.655
Os 0.796 0.500 0.657
```